A plane-wave DFT calculation with PBE-GGA was carried out for a relaxed structure of ZnAs2Ir.

Cell and atoms, written as CIF:
```
data_ZnAs2Ir
_chemical_formula_sum 'Zn2 As4 Ir2'
_space_group_name_H-M_alt 'I m m m'
_space_group_IT_number 71
_space_group_name_Hall '-I 2 2'
_cell_length_a 2.951
_cell_length_b 4.331
_cell_length_c 11.391
_cell_angle_alpha 90.00
_cell_angle_beta 90.00
_cell_angle_gamma 90.00
loop_
_atom_site_label
_atom_site_type_symbol
_atom_site_fract_x
_atom_site_fract_y
_atom_site_fract_z
Zn1 Zn 0.000 0.000 0.000
As1 As 0.000 0.500 0.184
Ir1 Ir 0.000 0.000 0.500
```



A plane-wave DFT calculation with PBE-GGA was carried out for a relaxed structure of Zn2AsIr.

Cell and atoms, written as CIF:
```
data_Zn2AsIr
_chemical_formula_sum 'Zn6 As3 Ir3'
_space_group_name_H-M_alt 'R 3 m'
_space_group_IT_number 160
_space_group_name_Hall 'R 3 -2"'
_cell_length_a 3.0789
_cell_length_b 3.0789
_cell_length_c 24.3929
_cell_angle_alpha 90.00
_cell_angle_beta 90.00
_cell_angle_gamma 120.00
loop_
_atom_site_label
_atom_site_type_symbol
_atom_site_fract_x
_atom_site_fract_y
_atom_site_fract_z
Zn1 Zn 0.0000 0.0000 0.0000
Zn2 Zn 0.0000 0.0000 0.2474
As1 As 0.0000 0.0000 0.4860
Ir1 Ir 0.0000 0.0000 0.7488
```



A plane-wave DFT calculation with PBE-GGA was carried out for a relaxed structure of ZnAsIr.

Computed properties:
ΔE to the lowest computed polymorph = 410 meV/atom

Cell and atoms, written as CIF:
```
data_ZnAsIr
_chemical_formula_sum 'Zn4 As4 Ir4'
_space_group_name_H-M_alt 'F -4 3 m'
_space_group_IT_number 216
_space_group_name_Hall 'F -4 2 3'
_cell_length_a 5.894
_cell_length_b 5.894
_cell_length_c 5.894
_cell_angle_alpha 90.00
_cell_angle_beta 90.00
_cell_angle_gamma 90.00
loop_
_atom_site_label
_atom_site_type_symbol
_atom_site_fract_x
_atom_site_fract_y
_atom_site_fract_z
Zn1 Zn 0.000 0.000 0.000
As1 As 0.250 0.250 0.250
Ir1 Ir 0.000 0.000 0.500
```



A plane-wave DFT calculation with PBE-GGA was carried out for a relaxed structure of ZnAsIr3.

Computed properties:
ΔE to the lowest computed polymorph = 0 meV/atom

Cell and atoms, written as CIF:
```
data_ZnAsIr3
_chemical_formula_sum 'Zn1 As1 Ir3'
_space_group_name_H-M_alt 'P m -3 m'
_space_group_IT_number 221
_space_group_name_Hall '-P 4 2 3'
_cell_length_a 4.553
_cell_length_b 4.553
_cell_length_c 4.553
_cell_angle_alpha 90.00
_cell_angle_beta 90.00
_cell_angle_gamma 90.00
loop_
_atom_site_label
_atom_site_type_symbol
_atom_site_fract_x
_atom_site_fract_y
_atom_site_fract_z
Zn1 Zn 0.000 0.000 0.000
As1 As 0.500 0.500 0.500
Ir1 Ir 0.000 0.500 0.500
```



A plane-wave DFT calculation with PBE-GGA was carried out for a relaxed structure of ZnAs2Ir.

Cell and atoms, written as CIF:
```
data_ZnAs2Ir
_chemical_formula_sum 'Zn2 As4 Ir2'
_space_group_name_H-M_alt 'C m m m'
_space_group_IT_number 65
_space_group_name_Hall '-C 2 2'
_cell_length_a 5.441
_cell_length_b 7.532
_cell_length_c 3.185
_cell_angle_alpha 90.00
_cell_angle_beta 90.00
_cell_angle_gamma 90.00
loop_
_atom_site_label
_atom_site_type_symbol
_atom_site_fract_x
_atom_site_fract_y
_atom_site_fract_z
Zn1 Zn 0.000 0.000 0.000
As1 As 0.250 0.250 0.500
Ir1 Ir 0.000 0.500 0.000
```



A plane-wave DFT calculation with PBE-GGA was carried out for a relaxed structure of ZnAsIr.

Computed properties:
ΔE to the lowest computed polymorph = 211 meV/atom

Cell and atoms, written as CIF:
```
data_ZnAsIr
_chemical_formula_sum 'Zn2 As2 Ir2'
_space_group_name_H-M_alt 'I m m 2'
_space_group_IT_number 44
_space_group_name_Hall 'I 2 -2'
_cell_length_a 3.074
_cell_length_b 3.617
_cell_length_c 8.396
_cell_angle_alpha 90.00
_cell_angle_beta 90.00
_cell_angle_gamma 90.00
loop_
_atom_site_label
_atom_site_type_symbol
_atom_site_fract_x
_atom_site_fract_y
_atom_site_fract_z
Zn1 Zn 0.000 0.000 0.000
As1 As 0.000 0.000 0.688
Ir1 Ir 0.000 0.000 0.323
```



A plane-wave DFT calculation with PBE-GGA was carried out for a relaxed structure of Zn2AsIr.

Cell and atoms, written as CIF:
```
data_Zn2AsIr
_chemical_formula_sum 'Zn4 As2 Ir2'
_space_group_name_H-M_alt 'C m m m'
_space_group_IT_number 65
_space_group_name_Hall '-C 2 2'
_cell_length_a 2.870
_cell_length_b 4.916
_cell_length_c 9.169
_cell_angle_alpha 90.00
_cell_angle_beta 90.00
_cell_angle_gamma 90.00
loop_
_atom_site_label
_atom_site_type_symbol
_atom_site_fract_x
_atom_site_fract_y
_atom_site_fract_z
Zn1 Zn 0.000 0.000 0.232
As1 As 0.000 0.500 0.500
Ir1 Ir 0.000 0.500 0.000
```



A plane-wave DFT calculation with PBE-GGA was carried out for a relaxed structure of ZnAsIr.

Computed properties:
ΔE to the lowest computed polymorph = 91 meV/atom

Cell and atoms, written as CIF:
```
data_ZnAsIr
_chemical_formula_sum 'Zn4 As4 Ir4'
_space_group_name_H-M_alt 'F -4 3 m'
_space_group_IT_number 216
_space_group_name_Hall 'F -4 2 3'
_cell_length_a 5.955
_cell_length_b 5.955
_cell_length_c 5.955
_cell_angle_alpha 90.00
_cell_angle_beta 90.00
_cell_angle_gamma 90.00
loop_
_atom_site_label
_atom_site_type_symbol
_atom_site_fract_x
_atom_site_fract_y
_atom_site_fract_z
Zn1 Zn 0.000 0.000 0.000
As1 As 0.000 0.000 0.500
Ir1 Ir 0.250 0.250 0.750
```



Which formation enthalpy at 0 K belongs to each record? In order, -37; 41; 219; 986; 183; 20; 126; -100 meV per atom.